(1)
Here is crystalline Er2ZrSc4 at its relaxed geometry from Alexandria. Energies are from PBE-GGA.

ΔE_f (eV/atom): 0.563
Symmetry: No. 139
Calculated total energy (eV/atom): -5.580
Distance to the lowest polymorph of the same formula (meV/atom): 537
Total magnetization (μB per atom): 0.000

CIF file:
```
data_Er2ZrSc4
_chemical_formula_sum 'Er2 Zr1 Sc4'
_space_group_name_H-M_alt 'P 1'
_space_group_IT_number 1
_cell_length_a 5.045
_cell_length_b 5.045
_cell_length_c 8.842
_cell_angle_alpha 106.58
_cell_angle_beta 106.58
_cell_angle_gamma 90.00
loop_
_space_group_symop_operation_xyz
'x,y,z'
loop_
_atom_site_label
_atom_site_fract_x
_atom_site_fract_y
_atom_site_fract_z
_atom_site_occupancy
Er1 0.818 0.818 0.636 1
Sc1 0.500 0.000 0.000 1
Er2 0.182 0.182 0.364 1
Zr1 0.000 0.000 0.000 1
Sc2 0.000 0.500 0.000 1
Sc3 0.613 0.613 0.227 1
Sc4 0.387 0.387 0.773 1
```



(2)
Here is crystalline Er4ZrSc3 at its relaxed geometry from Alexandria. Energies are from PBE-GGA.

ΔE_f (eV/atom): 0.470
Symmetry: No. 65
Calculated total energy (eV/atom): -5.254
Total magnetization (μB per atom): 0.321

CIF file:
```
data_Er4ZrSc3
_chemical_formula_sum 'Er4 Zr1 Sc3'
_space_group_name_H-M_alt 'P 1'
_space_group_IT_number 1
_cell_length_a 3.221
_cell_length_b 8.396
_cell_length_c 8.396
_cell_angle_alpha 96.66
_cell_angle_beta 90.00
_cell_angle_gamma 90.00
loop_
_space_group_symop_operation_xyz
'x,y,z'
loop_
_atom_site_label
_atom_site_fract_x
_atom_site_fract_y
_atom_site_fract_z
_atom_site_occupancy
Sc1 0.000 0.500 0.000 1
Sc2 0.000 0.000 0.500 1
Er1 0.000 0.241 0.241 1
Er2 0.000 0.759 0.759 1
Er3 0.500 0.249 0.751 1
Er4 0.500 0.751 0.249 1
Zr1 0.500 0.000 0.000 1
Sc3 0.500 0.500 0.500 1
```



(3)
Here is crystalline Er8ZrSc5 at its relaxed geometry from Alexandria. Energies are from PBE-GGA.

ΔE_f (eV/atom): 0.262
Symmetry: No. 82
Calculated total energy (eV/atom): -5.217
Total magnetization (μB per atom): 0.000

CIF file:
```
data_Er8ZrSc5
_chemical_formula_sum 'Er8 Zr1 Sc5'
_space_group_name_H-M_alt 'P 1'
_space_group_IT_number 1
_cell_length_a 8.076
_cell_length_b 8.076
_cell_length_c 8.076
_cell_angle_alpha 111.02
_cell_angle_beta 111.02
_cell_angle_gamma 106.43
loop_
_space_group_symop_operation_xyz
'x,y,z'
loop_
_atom_site_label
_atom_site_fract_x
_atom_site_fract_y
_atom_site_fract_z
_atom_site_occupancy
Er1 0.581 0.819 0.410 1
Er2 0.228 0.336 0.248 1
Sc1 0.473 0.073 0.187 1
Er3 0.181 0.591 0.762 1
Er4 0.829 0.419 0.238 1
Sc2 0.927 0.114 0.400 1
Sc3 0.500 0.500 0.000 1
Er5 0.664 0.912 0.892 1
Er6 0.088 0.980 0.752 1
Sc4 0.886 0.286 0.813 1
Zr1 0.250 0.750 0.500 1
Er7 0.409 0.171 0.590 1
Er8 0.020 0.772 0.108 1
Sc5 0.714 0.527 0.600 1
```



(4)
Here is crystalline ErZr2Sc at its relaxed geometry from Alexandria. Energies are from PBE-GGA.

ΔE_f (eV/atom): 0.062
Symmetry: No. 160
Calculated total energy (eV/atom): -6.935
Distance to the lowest polymorph of the same formula (meV/atom): 10
Total magnetization (μB per atom): 0.000

CIF file:
```
data_ErZr2Sc
_chemical_formula_sum 'Er1 Zr2 Sc1'
_space_group_name_H-M_alt 'P 1'
_space_group_IT_number 1
_cell_length_a 3.290
_cell_length_b 3.290
_cell_length_c 10.780
_cell_angle_alpha 81.22
_cell_angle_beta 81.22
_cell_angle_gamma 60.00
loop_
_space_group_symop_operation_xyz
'x,y,z'
loop_
_atom_site_label
_atom_site_fract_x
_atom_site_fract_y
_atom_site_fract_z
_atom_site_occupancy
Er1 0.500 0.500 0.501 1
Sc1 0.667 0.667 0.000 1
Zr1 0.252 0.252 0.244 1
Zr2 0.082 0.082 0.755 1
```



Which of these has the highest calculated total energy? Er8ZrSc5